! TaCdPb2 | the Alexandria database | PBE | relaxed; values from VASP
&SYSTEM
  ibrav = 0, nat = 8, ntyp = 3
/
ATOMIC_SPECIES
Ta 180.95 Ta.upf
Cd 112.41 Cd.upf
Pb 207.20 Pb.upf
ATOMIC_POSITIONS angstrom
Ta 0.000 0.000 0.000
Ta 0.000 1.642 5.704
Cd 2.551 0.000 1.665
Cd 2.551 1.642 7.368
Pb 0.000 0.000 8.334
Pb 0.000 1.642 2.630
Pb 2.551 0.000 4.721
Pb 2.551 1.642 10.425
CELL_PARAMETERS angstrom
5.102 0.000 0.000
0.000 3.285 0.000
0.000 0.000 11.408
! V	23.90	Å³/atom
! N(E_F)	0.508	states/eV per atom
! total magnetic moment	0.00	μB/cell
! space group	Amm2, No. 38
! E_form	10.00	kcal/mol of atoms

=====

! TaCdPb2 | the Alexandria database | PBE | relaxed; values from VASP
&SYSTEM
  ibrav = 0, nat = 16, ntyp = 3
/
ATOMIC_SPECIES
Ta 180.95 Ta.upf
Cd 112.41 Cd.upf
Pb 207.20 Pb.upf
ATOMIC_POSITIONS angstrom
Ta 0.000 0.000 0.000
Ta 0.000 3.696 3.696
Ta 3.696 0.000 3.696
Ta 3.696 3.696 0.000
Cd 1.848 1.848 1.848
Cd 1.848 5.545 5.545
Cd 5.545 1.848 5.545
Cd 5.545 5.545 1.848
Pb 0.000 0.000 3.696
Pb 0.000 3.696 0.000
Pb 1.848 1.848 5.545
Pb 1.848 5.545 1.848
Pb 3.696 0.000 0.000
Pb 3.696 3.696 3.696
Pb 5.545 1.848 1.848
Pb 5.545 5.545 5.545
CELL_PARAMETERS angstrom
7.393 0.000 0.000
0.000 7.393 0.000
0.000 0.000 7.393
! V	25.25	Å³/atom
! N(E_F)	0.964	states/eV per atom
! total magnetic moment	6.24	μB/cell
! space group	F-43m, No. 216
! E_form	18.58	kcal/mol of atoms

=====

! Ta4CdPb | the Alexandria database | PBE | relaxed; values from VASP
&SYSTEM
  ibrav = 0, nat = 6, ntyp = 3
/
ATOMIC_SPECIES
Ta 180.95 Ta.upf
Cd 112.41 Cd.upf
Pb 207.20 Pb.upf
ATOMIC_POSITIONS angstrom
Ta 0.986 0.986 0.986
Ta 2.986 2.986 0.986
Ta 2.986 0.986 2.986
Ta 0.986 2.986 2.986
Cd 5.959 5.959 5.959
Pb 3.973 3.973 3.973
CELL_PARAMETERS angstrom
0.000 3.973 3.973
3.973 0.000 3.973
3.973 3.973 0.000
! V	20.90	Å³/atom
! N(E_F)	0.922	states/eV per atom
! total magnetic moment	0.00	μB/cell
! space group	F-43m, No. 216
! E_form	12.65	kcal/mol of atoms

=====

! TaCdPb | the Alexandria database | PBE | relaxed; values from VASP
&SYSTEM
  ibrav = 0, nat = 12, ntyp = 3
/
ATOMIC_SPECIES
Ta 180.95 Ta.upf
Cd 112.41 Cd.upf
Pb 207.20 Pb.upf
ATOMIC_POSITIONS angstrom
Ta 0.000 0.000 0.000
Ta 0.000 2.227 7.845
Ta 2.059 0.000 7.845
Ta 2.059 2.227 0.000
Cd 0.000 0.000 5.728
Cd 0.000 2.227 13.574
Cd 2.059 0.000 13.574
Cd 2.059 2.227 5.728
Pb 0.000 0.000 10.260
Pb 0.000 2.227 2.415
Pb 2.059 0.000 2.415
Pb 2.059 2.227 10.260
CELL_PARAMETERS angstrom
4.117 0.000 0.000
0.000 4.454 0.000
0.000 0.000 15.691
! V	23.98	Å³/atom
! N(E_F)	0.394	states/eV per atom
! total magnetic moment	0.00	μB/cell
! space group	Fmm2, No. 42
! energy above the lowest structure with this stoichiometry	0	meV per atom
! E_form	9.30	kcal/mol of atoms

=====

! TaCd3Pb | the Alexandria database | PBE | relaxed; values from VASP
&SYSTEM
  ibrav = 0, nat = 5, ntyp = 3
/
ATOMIC_SPECIES
Ta 180.95 Ta.upf
Cd 112.41 Cd.upf
Pb 207.20 Pb.upf
ATOMIC_POSITIONS angstrom
Ta 0.000 0.000 0.000
Cd 0.000 2.759 2.759
Cd 2.759 0.000 2.759
Cd 2.759 2.759 0.000
Pb 2.759 2.759 2.759
CELL_PARAMETERS angstrom
5.517 0.000 0.000
0.000 5.517 0.000
0.000 0.000 5.517
! V	33.59	Å³/atom
! N(E_F)	1.891	states/eV per atom
! total magnetic moment	3.47	μB/cell
! space group	Pm-3m, No. 221
! energy above the lowest structure with this stoichiometry	565	meV per atom
! E_form	35.40	kcal/mol of atoms

=====

! TaCdPb2 | the Alexandria database | PBE | relaxed; values from VASP
&SYSTEM
  ibrav = 0, nat = 12, ntyp = 3
/
ATOMIC_SPECIES
Ta 180.95 Ta.upf
Cd 112.41 Cd.upf
Pb 207.20 Pb.upf
ATOMIC_POSITIONS angstrom
Ta 0.000 0.000 0.000
Ta 0.000 1.826 24.314
Ta 1.582 0.913 12.157
Cd 0.000 0.000 18.236
Cd 0.000 1.826 6.079
Cd 1.582 0.913 30.393
Pb 0.000 0.000 9.512
Pb 0.000 0.000 26.959
Pb 0.000 1.826 14.802
Pb 0.000 1.826 33.826
Pb 1.582 0.913 2.645
Pb 1.582 0.913 21.669
CELL_PARAMETERS angstrom
3.164 0.000 0.000
-1.582 2.740 0.000
0.000 0.000 36.471
! V	26.34	Å³/atom
! N(E_F)	0.460	states/eV per atom
! total magnetic moment	0.00	μB/cell
! space group	R-3m, No. 166
! E_form	8.08	kcal/mol of atoms

=====

! TaCdPb2 | the Alexandria database | PBE | relaxed; values from VASP
&SYSTEM
  ibrav = 0, nat = 8, ntyp = 3
/
ATOMIC_SPECIES
Ta 180.95 Ta.upf
Cd 112.41 Cd.upf
Pb 207.20 Pb.upf
ATOMIC_POSITIONS angstrom
Ta 0.000 0.000 0.000
Ta 3.650 4.044 0.000
Cd 0.000 4.044 0.000
Cd 3.650 0.000 0.000
Pb 1.825 2.022 1.613
Pb 1.825 6.067 1.613
Pb 5.476 2.022 1.613
Pb 5.476 6.067 1.613
CELL_PARAMETERS angstrom
7.301 0.000 0.000
0.000 8.089 0.000
0.000 0.000 3.225
! V	23.81	Å³/atom
! N(E_F)	0.819	states/eV per atom
! total magnetic moment	0.01	μB/cell
! space group	Cmmm, No. 65
! E_form	12.49	kcal/mol of atoms

=====

! TaCdPb2 | the Alexandria database | PBE | relaxed; values from VASP
&SYSTEM
  ibrav = 0, nat = 16, ntyp = 3
/
ATOMIC_SPECIES
Ta 180.95 Ta.upf
Cd 112.41 Cd.upf
Pb 207.20 Pb.upf
ATOMIC_POSITIONS angstrom
Ta 0.000 0.000 0.000
Ta 0.000 4.134 1.551
Ta 4.134 0.000 4.654
Ta 4.134 4.134 3.103
Cd 0.000 0.000 3.103
Cd 0.000 4.134 4.654
Cd 4.134 0.000 1.551
Cd 4.134 4.134 0.000
Pb 1.888 6.201 0.776
Pb 2.067 1.888 5.430
Pb 2.067 2.246 2.327
Pb 2.246 6.201 3.878
Pb 6.022 2.067 3.878
Pb 6.201 6.022 2.327
Pb 6.201 6.380 5.430
Pb 6.380 2.067 0.776
CELL_PARAMETERS angstrom
8.268 0.000 0.000
0.000 8.268 0.000
0.000 0.000 6.206
! V	26.51	Å³/atom
! N(E_F)	1.078	states/eV per atom
! total magnetic moment	0.00	μB/cell
! space group	I-42d, No. 122
! E_form	18.71	kcal/mol of atoms